The following is a SCAN calculation of a crystal of Zr3Al3C5 relaxed with PBEsol, from Alexandria via LeMat-Bulk.

## Properties
calculated total energy = -173.46 eV/f.u.

Unit cell a=3.3351 b=3.3351 c=27.4702 alpha=90.00 beta=90.00 gamma=120.00
Sites, in units of the cell vectors:
Al 0.0000 0.0000 0.7500
Al 0.6667 0.3333 0.8232
Al 0.3333 0.6667 0.1768
Al 0.3333 0.6667 0.3232
Al 0.6667 0.3333 0.6768
Al 0.0000 0.0000 0.2500
Zr 0.3333 0.6667 0.5953
Zr 0.0000 0.0000 0.5000
Zr 0.6667 0.3333 0.0953
Zr 0.0000 0.0000 0.0000
Zr 0.6667 0.3333 0.4047
Zr 0.3333 0.6667 0.9047
C 0.0000 0.0000 0.8485
C 0.6667 0.3333 0.5498
C 0.6667 0.3333 0.7500
C 0.0000 0.0000 0.1515
C 0.0000 0.0000 0.3485
C 0.3333 0.6667 0.2500
C 0.3333 0.6667 0.4502
C 0.6667 0.3333 0.9502
C 0.0000 0.0000 0.6515
C 0.3333 0.6667 0.0498



The following is a SCAN calculation of a crystal of CaAl4 relaxed with PBEsol, from Alexandria via LeMat-Bulk.

## Properties
calculated total energy = -41.71 eV/f.u.

Unit cell a=4.2915 b=4.2915 c=6.3821 alpha=109.65 beta=109.65 gamma=90.00
Sites, in units of the cell vectors:
Al 0.2500 0.7500 0.5000
Al 0.6128 0.6128 0.2256
Al 0.7500 0.2500 0.5000
Al 0.3872 0.3872 0.7744
Ca 0.0000 0.0000 0.0000



The following is a SCAN calculation of a crystal of Ca3Al relaxed with PBEsol, from Alexandria via LeMat-Bulk.

## Properties
calculated total energy = -36.86 eV/f.u.

Unit cell a=5.5347 b=5.5347 c=5.5347 alpha=60.00 beta=60.00 gamma=60.00
Sites, in units of the cell vectors:
Ca 0.2500 0.2500 0.2500
Ca 0.5000 0.5000 0.5000
Ca 0.7500 0.7500 0.7500
Al 0.0000 0.0000 0.0000



The following is a SCAN calculation of a crystal of Ca2Al relaxed with PBEsol, from Alexandria via LeMat-Bulk.

## Properties
calculated total energy = -27.43 eV/f.u.

Unit cell a=10.1489 b=10.1489 c=10.1489 alpha=60.00 beta=60.00 gamma=60.00
Sites, in units of the cell vectors:
Al 0.3288 0.3288 0.0135
Al 0.2365 0.9212 0.9212
Al 0.3288 0.3288 0.3288
Al 0.0135 0.3288 0.3288
Al 0.3288 0.0135 0.3288
Al 0.9212 0.9212 0.9212
Al 0.9212 0.2365 0.9212
Al 0.9212 0.9212 0.2365
Ca 0.3061 0.6939 0.3061
Ca 0.5561 0.9439 0.5561
Ca 0.6939 0.6939 0.3061
Ca 0.1250 0.6250 0.1250
Ca 0.5561 0.9439 0.9439
Ca 0.6939 0.3061 0.3061
Ca 0.3061 0.3061 0.6939
Ca 0.5561 0.5561 0.9439
Ca 0.1250 0.1250 0.1250
Ca 0.1250 0.1250 0.6250
Ca 0.9439 0.5561 0.9439
Ca 0.3061 0.6939 0.6939
Ca 0.9439 0.5561 0.5561
Ca 0.6250 0.1250 0.1250
Ca 0.6939 0.3061 0.6939
Ca 0.9439 0.9439 0.5561



Number 1: DOS at the Fermi energy 2.05 states/eV per cell, density 5.20 Mg/m³. Number 2: DOS at the Fermi energy 1.51 states/eV per cell, density 2.38 Mg/m³. Number 3: DOS at the Fermi energy 2.74 states/eV per cell, density 2.04 Mg/m³. Number 4: DOS at the Fermi energy 20.94 states/eV per cell, density 1.93 Mg/m³.